Record 1
Material: Ba4Bi2Au
Method: DFT, GGA-PBE
State: optimized geometry

a = 5.9697 Å, b = 5.9697 Å, c = 29.3382 Å
α = 90.00°, β = 90.00°, γ = 120.00°
With the nearest neighbours (Å) after each atom.
Space group R-3m (No. 166, hexagonal axes)
One atom of each set of equivalent atoms:
Ba1 0.0000 0.0000 0.1204 (multiplicity 6)  1 Au 3.53, 4 Bi 3.58-3.67
Ba2 0.0000 0.0000 0.3700 (multiplicity 6)  3 Au 3.61, 4 Bi 3.65-3.76
Bi1 0.0000 0.0000 0.2455 (multiplicity 6)  8 Ba 3.58-3.76
Au1 0.0000 0.0000 0.0000 (multiplicity 3)  8 Ba 3.53-3.61

Its total energy is -0.2575 Ry/atom. For the size of the total moment, the calculation gives 0.00 μB/f.u. Its crystal system is trigonal.

---

Record 2
Material: La2GeAs
Method: DFT, GGA-PBE
State: optimized geometry

a = 7.5162 Å, b = 7.5162 Å, c = 7.5162 Å
α = 90.00°, β = 90.00°, γ = 90.00°
With the nearest neighbours (Å) after each atom.
Space group Fm-3m (No. 225)
One atom of each set of equivalent atoms:
La1 0.2500 0.2500 0.2500 (multiplicity 8)  4 Ge 3.25, 4 As 3.25
Ge1 0.0000 0.0000 0.0000 (multiplicity 4)  8 La 3.25
As1 0.0000 0.0000 0.5000 (multiplicity 4)  8 La 3.25

Its total energy is -0.4144 Ry/atom. For the size of the total moment, the calculation gives 0.00 μB/f.u. Its crystal system is cubic.

---

- Which formula does entry 2 have?
  La2GeAs